## Pm2CuSn3Pt4 (PBE)

Data for an optimized crystal structure of Pm2CuSn3Pt4.

Summary:
ΔH_f (0 K)   -0.750 eV per atom
Symmetry   P-4m2 (115)
DOS(E_F)   5.3 states/eV/cell

```
Pm2CuSn3Pt4
1.0
-3.615 -0.877 2.456
1.164 -4.298 0.180
5.698 1.923 9.073
Pm Cu Sn Pt
2 1 3 4
direct
0.500 0.000 0.263 Pm
0.000 0.500 0.737 Pm
0.500 0.500 0.500 Cu
0.000 0.000 0.500 Sn
0.500 0.000 0.865 Sn
0.000 0.500 0.135 Sn
0.500 0.500 0.000 Pt
0.000 0.000 0.000 Pt
0.500 0.000 0.629 Pt
0.000 0.500 0.371 Pt
```